[1]
! Dy12Bi6Ru (PBE-GGA, optimized geometry); values from VASP
! D(E_F), states/eV/cell: 12.72
! Energy relative to the elements, eV/atom: -0.4627
! Space group: R-3 (148)
&SYSTEM
  ibrav = 0, nat = 19, ntyp = 3
/
ATOMIC_SPECIES
Dy 162.50 Dy.upf
Bi 208.98 Bi.upf
Ru 101.07 Ru.upf
CELL_PARAMETERS angstrom
8.664 -0.075 -0.090
-1.388 8.552 -0.090
-1.388 -1.617 8.399
ATOMIC_POSITIONS angstrom
Dy 5.465 4.220 3.735
Dy 2.059 5.845 4.819
Dy 3.342 2.595 6.612
Dy 0.423 2.641 4.483
Dy 3.830 1.015 3.400
Dy 2.546 4.265 1.607
Dy -1.304 8.026 2.507
Dy -2.243 4.381 7.841
Dy 4.670 7.992 -0.127
Dy 7.192 -1.166 5.711
Dy 8.131 2.480 0.378
Dy 1.218 -1.132 8.345
Bi 4.195 6.936 2.789
Bi 5.037 2.486 0.896
Bi -0.331 5.045 2.606
Bi 1.694 -0.075 5.430
Bi 0.851 4.375 7.322
Bi 6.220 1.815 5.613
Ru 0.000 0.000 0.000

[2]
! Dy5BiRu (PBE-GGA, optimized geometry); values from VASP
! D(E_F), states/eV/cell: 11.29
! Energy relative to the elements, eV/atom: -0.2260
! Space group: C2/c (15)
&SYSTEM
  ibrav = 0, nat = 14, ntyp = 3
/
ATOMIC_SPECIES
Dy 162.50 Dy.upf
Bi 208.98 Bi.upf
Ru 101.07 Ru.upf
CELL_PARAMETERS angstrom
-4.710 -4.432 -0.248
0.581 -4.950 4.129
-6.951 2.505 8.700
ATOMIC_POSITIONS angstrom
Dy -5.196 -6.920 3.433
Dy -4.433 -2.283 6.909
Dy -6.688 -5.861 9.424
Dy -6.278 -3.823 2.068
Dy -8.344 -3.516 11.493
Dy -2.735 -3.362 1.089
Dy -4.801 -3.055 10.514
Dy -4.391 -1.016 3.158
Dy -6.647 -4.594 5.672
Dy -5.883 0.042 9.149
Bi -3.625 -4.082 4.262
Bi -7.454 -2.795 8.320
Ru 0.000 0.000 0.000
Ru -3.475 1.253 4.350

[3]
! Dy5Bi4Ru (PBE-GGA, optimized geometry); values from VASP
! D(E_F), states/eV/cell: 4.62
! Energy relative to the elements, eV/atom: -0.6040
! Space group: I4 (79)
&SYSTEM
  ibrav = 0, nat = 10, ntyp = 3
/
ATOMIC_SPECIES
Dy 162.50 Dy.upf
Bi 208.98 Bi.upf
Ru 101.07 Ru.upf
CELL_PARAMETERS angstrom
-5.142 -3.499 -0.899
1.268 -6.612 -3.486
-1.576 -4.783 5.667
ATOMIC_POSITIONS angstrom
Dy -5.612 -9.569 2.594
Dy -1.433 -9.526 0.495
Dy -4.215 -5.504 0.753
Dy -0.037 -5.461 -1.347
Dy -2.031 -1.382 -0.355
Bi -2.985 -7.840 2.705
Bi -4.202 -10.999 -0.005
Bi -1.471 -4.047 1.248
Bi -2.688 -7.206 -1.462
Ru -4.894 -3.330 -0.856

[4]
! Dy4BiRu2 (PBE-GGA, optimized geometry); values from VASP
! D(E_F), states/eV/cell: 6.08
! Energy relative to the elements, eV/atom: -0.3810
! Space group: P1 (1)
&SYSTEM
  ibrav = 0, nat = 14, ntyp = 3
/
ATOMIC_SPECIES
Dy 162.50 Dy.upf
Bi 208.98 Bi.upf
Ru 101.07 Ru.upf
CELL_PARAMETERS angstrom
7.728 -1.622 -0.220
-2.022 8.530 -0.092
-2.829 -3.757 5.835
ATOMIC_POSITIONS angstrom
Dy 5.906 -0.638 1.852
Dy 1.319 2.973 1.522
Dy 3.595 0.845 3.548
Dy 3.610 -2.788 4.332
Dy 0.447 6.565 1.114
Dy -0.535 -1.614 4.036
Dy 0.384 1.848 4.918
Dy 4.720 2.976 0.740
Bi -1.127 4.171 3.544
Bi 0.397 0.160 -0.013
Ru 1.100 0.267 2.763
Ru 2.912 5.270 1.835
Ru 3.412 0.697 0.584
Ru -2.143 0.669 4.940

[5]
! Dy4BiRu (PBE-GGA, optimized geometry); values from VASP
! D(E_F), states/eV/cell: 8.69
! Energy relative to the elements, eV/atom: -0.4933
! Space group: C2/c (15)
&SYSTEM
  ibrav = 0, nat = 12, ntyp = 3
/
ATOMIC_SPECIES
Dy 162.50 Dy.upf
Bi 208.98 Bi.upf
Ru 101.07 Ru.upf
CELL_PARAMETERS angstrom
6.167 -0.433 0.000
-2.121 8.431 0.000
-2.023 -3.999 6.707
ATOMIC_POSITIONS angstrom
Dy -1.808 -1.726 5.746
Dy 1.982 3.102 4.472
Dy -1.276 1.942 5.746
Dy -1.020 5.112 4.472
Dy 3.043 -1.114 2.235
Dy 3.299 2.057 0.961
Dy 0.041 0.897 2.235
Dy 3.831 5.724 0.961
Bi 0.481 4.107 1.708
Bi 1.542 -0.108 4.999
Ru 1.542 -0.108 0.002
Ru 0.481 4.107 6.705

[6]
! Dy3Bi2Ru (PBE-GGA, optimized geometry); values from VASP
! D(E_F), states/eV/cell: 4.05
! Energy relative to the elements, eV/atom: -0.3316
! Space group: Cmmm (65)
&SYSTEM
  ibrav = 0, nat = 6, ntyp = 3
/
ATOMIC_SPECIES
Dy 162.50 Dy.upf
Bi 208.98 Bi.upf
Ru 101.07 Ru.upf
CELL_PARAMETERS angstrom
-1.301 -2.552 -2.066
4.553 0.858 -3.925
2.256 -6.008 6.001
ATOMIC_POSITIONS angstrom
Dy 5.026 -5.032 0.033
Dy 0.483 -2.671 -0.024
Dy 2.276 0.429 -1.963
Bi 2.327 -4.941 1.620
Bi 3.181 -2.761 -1.611
Ru 0.000 0.000 0.000

Q: Which of these has the highest energy relative to the elements?
A: Dy5BiRu